Ac2SmIn12Rh3 | PBE-GGA | optimized geometry

Computed properties:
Size of the total moment, μB/cell: 0.000

a = 9.5276 Å, b = 9.5276 Å, c = 20.4183 Å
α = 90.00°, β = 90.00°, γ = 120.00°
Space group R-3m (No. 166, hexagonal axes)
Asymmetric unit:
1 Ac 0.0000 0.0000 0.0848
2 Sm 0.0000 0.0000 0.5000
3 In 0.0641 0.5321 0.3039
4 In 0.0759 0.5380 0.8747
5 Rh 0.0000 0.5000 0.0000

---

Ac2InSn4Rh3 | PBE-GGA | optimized geometry

Computed properties:
Size of the total moment, μB/cell: 0.000

a = 4.630 Å, b = 4.630 Å, c = 11.288 Å
α = 90.00°, β = 90.00°, γ = 90.00°
Space group P-4m2 (No. 115)
Asymmetric unit:
1 Ac 0.000 0.500 0.241
2 In 0.000 0.000 0.500
3 Sn 0.000 0.000 0.000
4 Sn 0.000 0.500 0.647
5 Sn 0.500 0.500 0.000
6 Rh 0.000 0.500 0.878
7 Rh 0.500 0.500 0.500

---

Ac2InSnRh6 | PBE-GGA | optimized geometry

Computed properties:
Size of the total moment, μB/cell: 0.000

a = 9.862 Å, b = 5.815 Å, c = 8.949 Å
α = 90.00°, β = 112.01°, γ = 90.00°
Space group C2/m (No. 12)
Asymmetric unit:
1 Ac 0.220 0.000 0.147
2 In 0.000 0.000 0.500
3 Sn 0.000 0.500 0.000
4 Rh 0.015 0.259 0.256
5 Rh 0.236 0.000 0.779

---

Ac2InSn3Rh4 | PBE-GGA | optimized geometry

Computed properties:
Size of the total moment, μB/cell: 0.000

a = 4.600 Å, b = 4.600 Å, c = 10.885 Å
α = 90.00°, β = 90.00°, γ = 90.00°
Space group P-4m2 (No. 115)
Asymmetric unit:
1 Ac 0.000 0.500 0.246
2 In 0.000 0.000 0.500
3 Sn 0.000 0.500 0.876
4 Sn 0.500 0.500 0.500
5 Rh 0.000 0.000 0.000
6 Rh 0.000 0.500 0.634
7 Rh 0.500 0.500 0.000

---

AcInSnRh3 | PBE-GGA | optimized geometry

Computed properties:
Size of the total moment, μB/cell: 0.000

a = 5.805 Å, b = 17.261 Å, c = 5.808 Å
α = 90.00°, β = 90.00°, γ = 90.00°
Space group Cmcm (No. 63)
Asymmetric unit:
1 Ac 0.000 0.244 0.250
2 In 0.000 0.104 0.750
3 Sn 0.000 0.408 0.750
4 Rh 0.000 0.256 0.750
5 Rh 0.240 0.000 0.000

---

Ac2In2SnRh5 | PBE-GGA | optimized geometry

Computed properties:
Size of the total moment, μB/cell: 0.000

a = 10.578 Å, b = 10.578 Å, c = 3.743 Å
α = 90.00°, β = 90.00°, γ = 90.00°
Space group P4/mbm (No. 127)
Asymmetric unit:
1 Ac 0.173 0.327 0.000
2 In 0.125 0.625 0.000
3 Sn 0.000 0.000 0.000
4 Rh 0.000 0.500 0.500
5 Rh 0.061 0.802 0.500

---

no.,energy relative to the elements (meV per atom)
1,-66
2,-642
3,-237
4,-704
5,-385
6,-446